[1]
Here is a relaxed BaAcPtAu crystal from Alexandria. Energies are from PBE.

a b c (Å): 5.489 5.489 5.489
angles (deg): 60.00 60.00 60.00
Fractional coordinates of all 4 atoms:
Ac  0.500  0.500  0.500
Au  0.250  0.250  0.250
Ba  0.000  0.000  0.000
Pt  0.750  0.750  0.750

Values from the calculation:
offset from the most stable computed form: 105 meV per atom
space-group type: F-43m, No. 216
total magnetization: 0.000 μB per atom
volume: 116.9 Å³/cell
ΔE_f: -0.743 eV/atom

=====

[2]
Here is a relaxed ZrNi2Cl crystal from Alexandria. Energies are from PBE.

a b c (Å): 3.176 3.176 7.499
angles (deg): 90.00 90.00 90.00
Site moments in Bohr magnetons follow the coordinates.
Fractional coordinates of all 4 atoms:
Cl  0.500  0.500  0.681  0.00
Ni  0.000  0.000  0.127  0.25
Ni  0.500  0.500  0.236  0.15
Zr  0.000  0.000  0.456  0.02

Values from the calculation:
offset from the most stable computed form: 68 meV per atom
space-group type: P4mm, No. 99
raw formation energy: -0.260 eV/atom
total magnetization: 0.105 μB per atom
volume: 75.6 Å³/cell

=====

[3]
Here is a relaxed Dy5InBi2 crystal from Alexandria. Energies are from PBE.

a b c (Å): 5.723 6.480 14.841
angles (deg): 90.00 90.00 116.21
Fractional coordinates of all 16 atoms:
Dy  0.925  0.850  0.903
Dy  0.925  0.850  0.597
Dy  0.379  0.758  0.449
Dy  0.379  0.758  0.051
Dy  0.570  0.139  0.250
Dy  0.430  0.861  0.750
Dy  0.621  0.242  0.551
Dy  0.621  0.242  0.949
Dy  0.075  0.150  0.097
Dy  0.075  0.150  0.403
In  0.719  0.437  0.750
In  0.281  0.563  0.250
Bi  0.794  0.587  0.382
Bi  0.794  0.587  0.118
Bi  0.206  0.413  0.618
Bi  0.206  0.413  0.882

Values from the calculation:
space-group type: Cmcm, No. 63
total magnetization: 0.000 μB per atom
volume: 493.9 Å³/cell
ΔE_f: -0.272 eV/atom